[1]
Computed, not measured: a relaxed Ca3Si2Au4 crystal at the PBE-GGA level of DFT.

Values from the calculation:
Theoretical density (g/cm3): 7.9
ΔE_f (raw) (meV per atom): -666
Space group: C2/m, No. 12

a = 4.424 Å, b = 5.959 Å, c = 8.662 Å
α = 106.21°, β = 90.00°, γ = 111.79°
Positions (direct):
Ca 0.665 0.331 0.667
Ca 0.000 0.000 0.000
Ca 0.335 0.669 0.333
Si 0.601 0.202 0.283
Si 0.399 0.798 0.717
Au 0.708 0.415 0.071
Au 0.292 0.585 0.929
Au 0.939 0.878 0.622
Au 0.061 0.122 0.378


[2]
Computed, not measured: a relaxed Ca5Si2Au2 crystal at the PBE-GGA level of DFT.

Values from the calculation:
Theoretical density (g/cm3): 4.6
ΔE_f (raw) (meV per atom): -594
Space group: Cmce, No. 64

a = 7.718 Å, b = 7.753 Å, c = 8.769 Å
α = 90.00°, β = 63.89°, γ = 90.00°
Positions (direct):
Ca 0.000 0.000 0.000
Ca 0.500 0.500 0.000
Ca 0.458 0.175 0.730
Ca 0.813 0.825 0.730
Ca 0.313 0.675 0.730
Ca 0.958 0.325 0.730
Ca 0.542 0.825 0.270
Ca 0.187 0.175 0.270
Ca 0.687 0.325 0.270
Ca 0.042 0.675 0.270
Si 0.112 0.388 0.000
Si 0.888 0.612 0.000
Si 0.388 0.888 0.000
Si 0.612 0.112 0.000
Au 0.209 0.000 0.582
Au 0.709 0.500 0.582
Au 0.791 0.000 0.418
Au 0.291 0.500 0.418


[3]
Computed, not measured: a relaxed CaSi2Au2 crystal at the PBE-GGA level of DFT.

Values from the calculation:
Theoretical density (g/cm3): 8.4
ΔE_f (raw) (meV per atom): -98
Space group: P4/mbm, No. 127

a = 7.404 Å, b = 7.404 Å, c = 3.553 Å
α = 90.00°, β = 90.00°, γ = 90.00°
Positions (direct):
Ca 0.000 0.000 0.000
Ca 0.500 0.500 0.000
Au 0.190 0.690 0.500
Au 0.690 0.810 0.500
Au 0.810 0.310 0.500
Au 0.310 0.190 0.500
Si 0.387 0.887 0.000
Si 0.887 0.613 0.000
Si 0.613 0.113 0.000
Si 0.113 0.387 0.000


[4]
Computed, not measured: a relaxed CaSi3Au crystal at the PBE-GGA level of DFT.

Values from the calculation:
Theoretical density (g/cm3): 3.6
ΔE_f (raw) (meV per atom): 1624
Space group: Pm-3m, No. 221

a = 5.279 Å, b = 5.279 Å, c = 5.279 Å
α = 90.00°, β = 90.00°, γ = 90.00°
Each line ends with the local moment (μB).
Positions (direct):
Ca 0.000 0.000 0.000  0.15
Au 0.500 0.500 0.500  0.02
Si 0.000 0.500 0.000  0.09
Si 0.000 0.000 0.500  0.08
Si 0.500 0.000 0.000  0.07


[5]
Computed, not measured: a relaxed Ca2SiAu crystal at the PBE-GGA level of DFT.

Values from the calculation:
Theoretical density (g/cm3): 4.8
ΔE_f (raw) (meV per atom): -195
Space group: I-42d, No. 122

a = 7.971 Å, b = 7.971 Å, c = 6.551 Å
α = 52.52°, β = 52.52°, γ = 90.00°
Positions (direct):
Ca 0.624 0.125 0.250
Ca 0.126 0.625 0.250
Ca 0.375 0.376 0.750
Ca 0.875 0.874 0.750
Au 0.000 0.000 0.000
Au 0.750 0.250 0.500
Si 0.500 0.500 0.000
Si 0.250 0.750 0.500


[6]
Computed, not measured: a relaxed Ca2SiAu crystal at the PBE-GGA level of DFT.

Values from the calculation:
Theoretical density (g/cm3): 4.6
ΔE_f (raw) (meV per atom): -350
Space group: C2/m, No. 12

a = 4.297 Å, b = 4.297 Å, c = 7.767 Å
α = 77.47°, β = 77.47°, γ = 51.81°
Positions (direct):
Au 0.250 0.250 0.250
Ca 0.000 0.000 0.989
Ca 0.500 0.500 0.511
Si 0.750 0.750 0.750


[7]
Computed, not measured: a relaxed Ca2Si3Au5 crystal at the PBE-GGA level of DFT.

Values from the calculation:
Theoretical density (g/cm3): 9.4
ΔE_f (raw) (meV per atom): -396
Space group: P-4m2, No. 115

a = 4.279 Å, b = 4.279 Å, c = 11.137 Å
α = 90.00°, β = 90.00°, γ = 90.00°
Positions (direct):
Ca 0.500 0.000 0.246
Ca 0.000 0.500 0.754
Si 0.500 0.000 0.620
Si 0.000 0.500 0.380
Si 0.000 0.000 0.500
Au 0.500 0.500 0.000
Au 0.000 0.000 0.000
Au 0.500 0.000 0.832
Au 0.000 0.500 0.168
Au 0.500 0.500 0.500


[8]
Computed, not measured: a relaxed CaSiAu crystal at the PBE-GGA level of DFT.

Values from the calculation:
Theoretical density (g/cm3): 6.3
ΔE_f (raw) (meV per atom): -357
Space group: F-43m, No. 216

a = 4.622 Å, b = 4.622 Å, c = 4.622 Å
α = 60.00°, β = 60.00°, γ = 60.00°
Positions (direct):
Au 0.250 0.250 0.250
Ca 0.000 0.000 0.000
Si 0.500 0.500 0.500